Entry from Alexandria: a geometry-optimized TbPrGaHg structure (PBE).

Crystal system: tetragonal
Energy of formation from the pure elements in eV/atom: -0.525
E above lowest polymorph in meV per atom: 0
V in A^3/atom: 25.92
Calculated density in kg/m³: 9131

Lattice parameters (Å, degrees): 3.6701 3.6701 7.6976 90.00 90.00 90.00
With the nearest neighbours (Å) after each atom.
Element x y z (fractional)
Tb (0.0000, 0.0000, 0.3691)  4 Ga 3.12, 4 Hg 3.20
Pr (0.0000, 0.0000, 0.8395)  4 Ga 3.21, 4 Hg 3.40
Ga (0.5000, 0.5000, 0.5935)  4 Tb 3.12, 4 Pr 3.21
Hg (0.5000, 0.5000, 0.1258)  4 Tb 3.20, 4 Pr 3.40